#a
DFT (GGA-PBE) results for a relaxed CuGeH crystal.

Structure (POSCAR):
```
CuGeH
1.0
5.169 0.000 0.000
2.584 7.686 0.143
2.584 1.744 6.173
Cu H Ge
6 6 6
Direct
0.502 0.763 0.523 Cu
0.213 0.263 0.023 Cu
0.672 0.166 0.772 Cu
0.267 0.377 0.306 Cu
0.390 0.666 0.272 Cu
0.049 0.877 0.806 Cu
0.491 0.352 0.837 H
0.360 0.191 0.235 H
0.472 0.757 0.998 H
0.215 0.691 0.735 H
0.320 0.852 0.337 H
0.772 0.257 0.498 H
0.812 0.068 0.123 Ge
0.769 0.388 0.252 Ge
0.924 0.687 0.204 Ge
0.592 0.888 0.752 Ge
0.185 0.187 0.704 Ge
0.997 0.568 0.623 Ge
```


#b
DFT (GGA-PBE) results for a relaxed CuGeH crystal.

Structure (POSCAR):
```
CuGeH
1.0
-2.105 -2.942 0.272
0.848 -0.922 -3.404
5.523 -3.733 2.387
Cu H Ge
2 2 2
Direct
0.000 0.000 0.500 Cu
0.500 0.500 0.500 Cu
0.000 0.500 0.051 H
0.500 0.000 0.949 H
0.500 0.000 0.730 Ge
0.000 0.500 0.270 Ge
```


Least stable structure: #b


#a
DFT (GGA-PBE) results for a relaxed CuGeH2 crystal.

Structure (POSCAR):
```
CuGeH2
1.0
4.583 0.000 0.000
0.000 4.583 0.000
2.291 2.291 4.102
Ge H Cu
2 4 2
Direct
0.000 0.000 0.000 Ge
0.750 0.250 0.500 Ge
0.243 0.625 0.250 H
0.507 0.125 0.250 H
0.875 0.757 0.750 H
0.375 0.493 0.750 H
0.250 0.750 0.500 Cu
0.500 0.500 0.000 Cu
```


#b
DFT (GGA-PBE) results for a relaxed CuGeH2 crystal.

Structure (POSCAR):
```
CuGeH2
1.0
0.000 2.677 2.677
2.677 0.000 2.677
2.677 2.677 0.000
H Cu Ge
2 1 1
Direct
0.250 0.250 0.250 H
0.750 0.750 0.750 H
0.000 0.000 0.000 Cu
0.500 0.500 0.500 Ge
```


Least stable structure: #b


#a
DFT (GGA-PBE) results for a relaxed HfCu3Ge crystal.

Structure (POSCAR):
```
HfCu3Ge
1.0
-0.312 -1.539 4.114
-2.469 -3.349 -1.441
3.633 -2.409 -0.626
Cu Hf Ge
3 1 1
Direct
0.000 0.000 0.500 Cu
0.000 0.500 0.000 Cu
0.500 0.000 0.000 Cu
0.500 0.500 0.500 Hf
0.000 0.000 0.000 Ge
```


#b
DFT (GGA-PBE) results for a relaxed HfCu3Ge crystal.

Structure (POSCAR):
```
HfCu3Ge
1.0
4.860 0.000 0.000
0.000 4.860 0.000
0.000 0.000 4.860
Hf Ge Cu
1 1 3
Direct
0.000 0.000 0.000 Hf
0.500 0.500 0.500 Ge
0.500 0.000 0.000 Cu
0.000 0.500 0.000 Cu
0.000 0.000 0.500 Cu
```


Least stable structure: #b


#a
DFT (GGA-PBE) results for a relaxed Cu2GeI6 crystal.

Structure (POSCAR):
```
Cu2GeI6
1.0
0.000 5.441 5.441
5.441 0.000 5.441
5.441 5.441 0.000
I Cu Ge
6 2 1
Direct
0.747 0.747 0.253 I
0.253 0.747 0.747 I
0.747 0.253 0.253 I
0.253 0.747 0.253 I
0.747 0.253 0.747 I
0.253 0.253 0.747 I
0.750 0.750 0.750 Cu
0.250 0.250 0.250 Cu
0.000 0.000 0.000 Ge
```


#b
DFT (GGA-PBE) results for a relaxed Cu2GeI6 crystal.

Structure (POSCAR):
```
Cu2GeI6
1.0
6.457 0.000 -2.230
-3.640 10.391 -0.098
0.195 0.235 11.006
I Ge Cu
12 2 4
Direct
0.589 0.950 0.260 I
0.379 0.551 0.239 I
0.121 0.761 0.449 I
0.411 0.050 0.740 I
0.682 0.329 0.172 I
0.879 0.239 0.551 I
0.621 0.449 0.761 I
0.818 0.828 0.671 I
0.318 0.671 0.828 I
0.089 0.260 0.950 I
0.182 0.172 0.329 I
0.911 0.740 0.050 I
0.250 0.750 0.250 Ge
0.750 0.250 0.750 Ge
0.058 0.329 0.172 Cu
0.558 0.172 0.329 Cu
0.942 0.671 0.828 Cu
0.442 0.828 0.671 Cu
```


#c
DFT (GGA-PBE) results for a relaxed Cu2GeI6 crystal.

Structure (POSCAR):
```
Cu2GeI6
1.0
-0.310 -6.206 -3.921
2.990 -6.066 6.587
-8.617 -2.917 2.520
I Cu Ge
12 4 2
Direct
0.866 0.540 0.703 I
0.634 0.297 0.460 I
0.630 0.962 0.786 I
0.370 0.038 0.214 I
0.368 0.378 0.873 I
0.868 0.873 0.378 I
0.632 0.622 0.127 I
0.870 0.214 0.038 I
0.130 0.786 0.962 I
0.132 0.127 0.622 I
0.134 0.460 0.297 I
0.366 0.703 0.540 I
0.331 0.235 0.397 Cu
0.669 0.765 0.603 Cu
0.831 0.397 0.235 Cu
0.169 0.603 0.765 Cu
0.250 0.106 0.894 Ge
0.750 0.894 0.106 Ge
```


Least stable structure: #a


#a
DFT (GGA-PBE) results for a relaxed CuGeTe2I crystal.

Structure (POSCAR):
```
CuGeTe2I
1.0
5.430 0.000 0.000
0.000 5.430 0.000
0.000 0.000 5.699
Te Cu I Ge
2 1 1 1
Direct
0.500 0.000 0.000 Te
0.000 0.500 0.000 Te
0.500 0.500 0.500 Cu
0.000 0.000 0.500 I
0.000 0.000 0.000 Ge
```


#b
DFT (GGA-PBE) results for a relaxed CuGeTe2I crystal.

Structure (POSCAR):
```
CuGeTe2I
1.0
-4.273 1.358 -2.668
-1.641 -4.951 0.108
-2.513 0.931 4.498
Cu Te I Ge
1 2 1 1
Direct
0.000 0.000 0.000 Cu
0.000 0.500 0.000 Te
0.500 0.000 0.000 Te
0.000 0.000 0.500 I
0.500 0.500 0.500 Ge
```


Least stable structure: #a


#a
DFT (GGA-PBE) results for a relaxed In2CuGe2 crystal.

Structure (POSCAR):
```
In2CuGe2
1.0
7.258 0.000 0.000
0.000 7.258 0.000
0.000 0.000 4.262
In Cu Ge
4 2 4
Direct
0.672 0.172 0.000 In
0.828 0.672 0.000 In
0.172 0.328 0.000 In
0.328 0.828 0.000 In
0.000 0.000 0.000 Cu
0.500 0.500 0.000 Cu
0.372 0.128 0.500 Ge
0.128 0.628 0.500 Ge
0.628 0.872 0.500 Ge
0.872 0.372 0.500 Ge
```


#b
DFT (GGA-PBE) results for a relaxed In2CuGe2 crystal.

Structure (POSCAR):
```
In2CuGe2
1.0
3.649 0.000 0.000
0.000 3.649 0.000
1.824 1.824 8.276
Cu Ge In
1 2 2
Direct
0.000 0.000 0.000 Cu
0.750 0.250 0.500 Ge
0.250 0.750 0.500 Ge
0.592 0.592 0.815 In
0.408 0.408 0.185 In
```


Least stable structure: #a


#a
DFT (GGA-PBE) results for a relaxed InCu4Ge crystal.

Structure (POSCAR):
```
InCu4Ge
1.0
-1.961 -4.554 -0.698
1.342 -3.788 2.986
-3.264 -1.855 3.312
Cu In Ge
4 1 1
Direct
0.125 0.625 0.625 Cu
0.625 0.625 0.125 Cu
0.625 0.125 0.625 Cu
0.625 0.625 0.625 Cu
0.000 0.000 0.000 In
0.250 0.250 0.250 Ge
```


#b
DFT (GGA-PBE) results for a relaxed InCu4Ge crystal.

Structure (POSCAR):
```
InCu4Ge
1.0
5.132 0.000 -0.479
0.000 6.251 0.000
-2.045 -3.125 5.889
Ge In Cu
2 2 8
Direct
0.227 0.460 0.920 Ge
0.773 0.540 0.080 Ge
0.888 0.793 0.587 In
0.112 0.207 0.413 In
0.712 0.310 0.620 Cu
0.457 0.684 0.770 Cu
0.000 0.192 0.000 Cu
0.543 0.914 0.230 Cu
0.288 0.690 0.380 Cu
0.543 0.316 0.230 Cu
0.457 0.086 0.770 Cu
0.000 0.808 0.000 Cu
```


Least stable structure: #b


#a
DFT (GGA-PBE) results for a relaxed InCu6Ge crystal.

Structure (POSCAR):
```
InCu6Ge
1.0
-2.224 1.462 3.206
2.882 -2.115 2.964
3.254 4.635 0.144
Cu In Ge
6 1 1
Direct
0.500 0.289 0.000 Cu
0.000 0.670 0.500 Cu
0.500 0.842 0.729 Cu
0.500 0.842 0.271 Cu
0.000 0.171 0.267 Cu
0.000 0.171 0.733 Cu
0.000 0.675 0.000 In
0.500 0.341 0.500 Ge
```


#b
DFT (GGA-PBE) results for a relaxed InCu6Ge crystal.

Structure (POSCAR):
```
InCu6Ge
1.0
-0.641 2.193 3.576
3.445 -3.305 2.644
1.874 4.512 -2.431
Cu Ge In
6 1 1
Direct
0.000 0.586 0.414 Cu
0.500 0.907 0.564 Cu
0.500 0.907 0.093 Cu
0.000 0.079 0.414 Cu
0.000 0.586 0.921 Cu
0.500 0.436 0.093 Cu
0.500 0.416 0.584 Ge
0.000 0.083 0.917 In
```


Least stable structure: #b


#a
DFT (GGA-PBE) results for a relaxed In3CuGe crystal.

Structure (POSCAR):
```
In3CuGe
1.0
5.388 0.000 0.000
0.000 5.388 0.000
0.000 0.000 5.388
Ge Cu In
1 1 3
Direct
0.000 0.000 0.000 Ge
0.500 0.500 0.500 Cu
0.000 0.500 0.000 In
0.000 0.000 0.500 In
0.500 0.000 0.000 In
```


#b
DFT (GGA-PBE) results for a relaxed In3CuGe crystal.

Structure (POSCAR):
```
In3CuGe
1.0
5.056 0.000 0.000
0.000 5.056 0.000
0.000 0.000 5.056
In Cu Ge
3 1 1
Direct
0.000 0.500 0.000 In
0.000 0.000 0.500 In
0.500 0.000 0.000 In
0.000 0.000 0.000 Cu
0.500 0.500 0.500 Ge
```


Least stable structure: #a


#a
DFT (GGA-PBE) results for a relaxed MgInCu2Ge crystal.

Structure (POSCAR):
```
MgInCu2Ge
1.0
-2.356 3.208 -2.463
1.867 -1.666 -3.955
-4.007 -3.321 -0.493
Cu Ge In Mg
2 1 1 1
Direct
0.500 0.000 0.000 Cu
0.000 0.500 0.000 Cu
0.500 0.500 0.500 Ge
0.000 0.000 0.500 In
0.000 0.000 0.000 Mg
```


#b
DFT (GGA-PBE) results for a relaxed MgInCu2Ge crystal.

Structure (POSCAR):
```
MgInCu2Ge
1.0
-2.279 -0.566 -4.233
4.426 -1.931 -2.125
-1.322 -4.469 1.309
Cu In Mg Ge
2 1 1 1
Direct
0.000 0.000 0.500 Cu
0.500 0.000 0.000 Cu
0.000 0.000 0.000 In
0.500 0.500 0.500 Mg
0.000 0.500 0.000 Ge
```


Least stable structure: #a


#a
DFT (GGA-PBE) results for a relaxed InCu2GeSe crystal.

Structure (POSCAR):
```
InCu2GeSe
1.0
4.599 0.000 0.000
0.000 5.403 0.000
0.000 0.000 4.599
Cu Ge Se In
2 1 1 1
Direct
0.000 0.000 0.500 Cu
0.500 0.000 0.000 Cu
0.000 0.000 0.000 Ge
0.000 0.500 0.000 Se
0.500 0.500 0.500 In
```


#b
DFT (GGA-PBE) results for a relaxed InCu2GeSe crystal.

Structure (POSCAR):
```
InCu2GeSe
1.0
4.448 0.000 0.000
0.000 4.448 0.000
0.000 0.000 6.242
Cu In Se Ge
2 1 1 1
Direct
0.500 0.000 0.000 Cu
0.000 0.500 0.000 Cu
0.000 0.000 0.500 In
0.000 0.000 0.000 Se
0.500 0.500 0.500 Ge
```


Least stable structure: #b